This record from the Alexandria database describes crystalline TbPr2Th3Se6 at its relaxed geometry. The functional is PBE.

Calculated values
The value obtained for the volume is 631.5 Å³ per cell. As for the crystal system: monoclinic. The total energy is -6.440 eV per atom. For the formation energy without anion corrections, the calculation gives -160.2 kJ per mole of atoms.

The structure in CIF format:
```
data_TbPr2Th3Se6
_chemical_formula_sum 'Tb2 Pr4 Th6 Se12'
_symmetry_space_group_name_H-M 'C 1 2/m 1'
_symmetry_Int_Tables_number 12
_cell_length_a 18.481
_cell_length_b 4.195
_cell_length_c 8.435
_cell_angle_alpha 90.00
_cell_angle_beta 105.04
_cell_angle_gamma 90.00
loop_
_symmetry_equiv_pos_as_xyz
'x,y,z'
'-x,-y,-z'
'-x,y,-z'
'x,-y,z'
'x+1/2,y+1/2,z'
'-x+1/2,-y+1/2,-z'
'-x+1/2,y+1/2,-z'
'x+1/2,-y+1/2,z'
loop_
_atom_site_label
_atom_site_fract_x
_atom_site_fract_y
_atom_site_fract_z
Tb1 0.000 0.000 0.000
Pr1 0.166 0.500 0.333
Th1 0.000 0.000 0.500
Th2 0.169 0.500 0.835
Se1 0.002 0.500 0.759
Se2 0.162 0.000 0.080
Se3 0.167 0.000 0.584
```